This record from OQMD describes crystalline Nd4Cu3Pt at its relaxed geometry. The functional is PBE-GGA.

Results
Space group: No. 6
Calculated formation energy in eV per formula unit: -3.53
E in Ry/atom: -0.3656
Total magnetic moment in Bohr magnetons per cell: 0.01
Density in g/cm3: 8.4

Unit cell a=5.6785 b=4.5591 c=7.3851 alpha=90.00 beta=90.53 gamma=90.00
Element x y z (fractional)
Nd1 0.1362 0.0000 0.6813
Cu1 0.1232 0.5000 0.9685
Pt1 0.6356 0.0000 0.5372
Cu2 0.3631 0.5000 0.4623
Nd2 0.8596 0.5000 0.3210
Cu3 0.8798 0.0000 0.0328
Nd3 0.6369 0.5000 0.8137
Nd4 0.3657 0.0000 0.1832